[1]
Entry from the Alexandria database: crystalline TcRuSe2Br at its relaxed geometry (PBE).

The total magnetization is 3.45 μB/f.u. The calculated density comes out at 6.04 g/cm³. For the polymorph energy (0 for the lowest one), the calculation gives 0 meV/atom. The volume comes out at 120.2 Å³ per cell.

It has space group P4/mmm (No. 123), with a = 4.852 Å, b = 4.852 Å, c = 5.105 Å, α = 90.00°, β = 90.00° and γ = 90.00°. The inequivalent atoms are Tc at (0.000, 0.000, 0.000), Ru at (0.500, 0.500, 0.500), Se at (0.000, 0.500, 0.500) and Br at (0.500, 0.500, 0.000).

=====

[2]
Entry from the Alexandria database: crystalline TeRuSe2Br at its relaxed geometry (PBE).

The total magnetization is 0.00 μB/f.u. The calculated density comes out at 6.46 g/cm³. For the polymorph energy (0 for the lowest one), the calculation gives 0 meV/atom. The volume comes out at 119.9 Å³ per cell.

It has space group P4/mmm (No. 123), with a = 4.887 Å, b = 4.887 Å, c = 5.022 Å, α = 90.00°, β = 90.00° and γ = 90.00°. The inequivalent atoms are Te at (0.000, 0.000, 0.000), Ru at (0.500, 0.500, 0.500), Se at (0.000, 0.500, 0.500) and Br at (0.500, 0.500, 0.000).

=====

[3]
Entry from the Alexandria database: crystalline TiRuSeBr2 at its relaxed geometry (PBE).

The total magnetization is 2.17 μB/f.u. The calculated density comes out at 4.94 g/cm³. For the polymorph energy (0 for the lowest one), the calculation gives 0 meV/atom. The volume comes out at 130.2 Å³ per cell.

It has space group P4/mmm (No. 123), with a = 5.107 Å, b = 5.107 Å, c = 4.992 Å, α = 90.00°, β = 90.00° and γ = 90.00°. The inequivalent atoms are Ti at (0.000, 0.000, 0.000), Ru at (0.500, 0.500, 0.500), Se at (0.000, 0.000, 0.500) and Br at (0.000, 0.500, 0.000).

=====

[4]
Entry from the Alexandria database: crystalline TiRuSeBr2 at its relaxed geometry (PBE).

The total magnetization is 0.12 μB/f.u. The calculated density comes out at 5.27 g/cm³. For the polymorph energy (0 for the lowest one), the calculation gives 184 meV/atom. The volume comes out at 122.2 Å³ per cell.

It has space group P4/mmm (No. 123), with a = 5.041 Å, b = 5.041 Å, c = 4.808 Å, α = 90.00°, β = 90.00° and γ = 90.00°. The inequivalent atoms are Ti at (0.000, 0.000, 0.000), Ru at (0.500, 0.500, 0.500), Se at (0.500, 0.500, 0.000) and Br at (0.000, 0.500, 0.500).

=====

[5]
Entry from the Alexandria database: crystalline VRuSeBr2 at its relaxed geometry (PBE).

The total magnetization is 2.74 μB/f.u. The calculated density comes out at 5.26 g/cm³. For the polymorph energy (0 for the lowest one), the calculation gives 100 meV/atom. The volume comes out at 123.3 Å³ per cell.

It has space group P4/mmm (No. 123), with a = 5.074 Å, b = 5.074 Å, c = 4.790 Å, α = 90.00°, β = 90.00° and γ = 90.00°. The inequivalent atoms are V at (0.000, 0.000, 0.000), Ru at (0.500, 0.500, 0.500), Se at (0.000, 0.000, 0.500) and Br at (0.000, 0.500, 0.000).

=====

[6]
Entry from the Alexandria database: crystalline VRuSeBr2 at its relaxed geometry (PBE).

The total magnetization is 3.52 μB/f.u. The calculated density comes out at 5.16 g/cm³. For the polymorph energy (0 for the lowest one), the calculation gives 0 meV/atom. The volume comes out at 125.7 Å³ per cell.

It has space group P4/mmm (No. 123), with a = 5.182 Å, b = 5.182 Å, c = 4.683 Å, α = 90.00°, β = 90.00° and γ = 90.00°. The inequivalent atoms are V at (0.000, 0.000, 0.000), Ru at (0.500, 0.500, 0.500), Se at (0.500, 0.500, 0.000) and Br at (0.000, 0.500, 0.500).

=====

[7]
Entry from the Alexandria database: crystalline VRuSeBr2 at its relaxed geometry (PBE).

The total magnetization is 0.94 μB/f.u. The calculated density comes out at 5.61 g/cm³. For the polymorph energy (0 for the lowest one), the calculation gives 132 meV/atom. The volume comes out at 115.6 Å³ per cell.

It has space group P4/mmm (No. 123), with a = 4.825 Å, b = 4.825 Å, c = 4.966 Å, α = 90.00°, β = 90.00° and γ = 90.00°. The inequivalent atoms are V at (0.000, 0.000, 0.000), Ru at (0.000, 0.000, 0.500), Se at (0.500, 0.500, 0.500) and Br at (0.000, 0.500, 0.000).

=====

[8]
Entry from the Alexandria database: crystalline RuWSe2Br at its relaxed geometry (PBE).

The total magnetization is 3.76 μB/f.u. The calculated density comes out at 6.89 g/cm³. For the polymorph energy (0 for the lowest one), the calculation gives 0 meV/atom. The volume comes out at 125.9 Å³ per cell.

It has space group P4/mmm (No. 123), with a = 4.876 Å, b = 4.876 Å, c = 5.296 Å, α = 90.00°, β = 90.00° and γ = 90.00°. The inequivalent atoms are Ru at (0.000, 0.000, 0.000), W at (0.500, 0.500, 0.500), Se at (0.000, 0.500, 0.500) and Br at (0.500, 0.500, 0.000).

=====

[9]
Entry from the Alexandria database: crystalline YRuSeBr2 at its relaxed geometry (PBE).

The total magnetization is 3.07 μB/f.u. The calculated density comes out at 4.25 g/cm³. For the polymorph energy (0 for the lowest one), the calculation gives 184 meV/atom. The volume comes out at 167.4 Å³ per cell.

It has space group P4/mmm (No. 123), with a = 5.486 Å, b = 5.486 Å, c = 5.562 Å, α = 90.00°, β = 90.00° and γ = 90.00°. The inequivalent atoms are Y at (0.000, 0.000, 0.000), Ru at (0.500, 0.500, 0.500), Se at (0.000, 0.000, 0.500) and Br at (0.000, 0.500, 0.000).

=====

[10]
Entry from the Alexandria database: crystalline YRuSeBr2 at its relaxed geometry (PBE).

The total magnetization is 0.00 μB/f.u. The calculated density comes out at 5.84 g/cm³. For the polymorph energy (0 for the lowest one), the calculation gives 0 meV/atom. The volume comes out at 122.0 Å³ per cell.

It has space group P4/mmm (No. 123), with a = 4.924 Å, b = 4.924 Å, c = 5.031 Å, α = 90.00°, β = 90.00° and γ = 90.00°. The inequivalent atoms are Y at (0.000, 0.000, 0.000), Ru at (0.500, 0.500, 0.500), Se at (0.500, 0.500, 0.000) and Br at (0.000, 0.500, 0.500).

=====

[11]
Entry from the Alexandria database: crystalline ZnRuSeBr2 at its relaxed geometry (PBE).

The total magnetization is 0.00 μB/f.u. The calculated density comes out at 5.25 g/cm³. For the polymorph energy (0 for the lowest one), the calculation gives 0 meV/atom. The volume comes out at 128.3 Å³ per cell.

It has space group P4/mmm (No. 123), with a = 5.241 Å, b = 5.241 Å, c = 4.669 Å, α = 90.00°, β = 90.00° and γ = 90.00°. The inequivalent atoms are Zn at (0.000, 0.000, 0.000), Ru at (0.500, 0.500, 0.500), Se at (0.500, 0.500, 0.000) and Br at (0.000, 0.500, 0.500).

=====

[12]
Entry from the Alexandria database: crystalline ZnRuSeBr2 at its relaxed geometry (PBE).

The total magnetization is 4.06 μB/f.u. The calculated density comes out at 5.19 g/cm³. For the polymorph energy (0 for the lowest one), the calculation gives 487 meV/atom. The volume comes out at 129.6 Å³ per cell.

It has space group P4/mmm (No. 123), with a = 5.060 Å, b = 5.060 Å, c = 5.065 Å, α = 90.00°, β = 90.00° and γ = 90.00°. The inequivalent atoms are Zn at (0.000, 0.000, 0.000), Ru at (0.500, 0.500, 0.500), Se at (0.000, 0.000, 0.500) and Br at (0.000, 0.500, 0.000).

=====

[13]
Entry from the Alexandria database: crystalline SiRuBr3 at its relaxed geometry (PBE).

The total magnetization is 3.04 μB/f.u. The calculated density comes out at 4.34 g/cm³. For the polymorph energy (0 for the lowest one), the calculation gives 143 meV/atom. The volume comes out at 141.2 Å³ per cell.

It has space group Pm-3m (No. 221), with a = 5.208 Å, b = 5.208 Å, c = 5.208 Å, α = 90.00°, β = 90.00° and γ = 90.00°. The inequivalent atoms are Si at (0.000, 0.000, 0.000), Ru at (0.500, 0.500, 0.500) and Br at (0.000, 0.000, 0.500).

=====

[14]
Entry from the Alexandria database: crystalline SiRu4Br at its relaxed geometry (PBE).

The total magnetization is 4.29 μB/f.u. The calculated density comes out at 8.53 g/cm³. The volume comes out at 398.9 Å³ per cell. The total energy is -150.84 eV/cell.

It has space group F-43m (No. 216), with a = 7.361 Å, b = 7.361 Å, c = 7.361 Å, α = 90.00°, β = 90.00° and γ = 90.00°. The inequivalent atoms are Si at (0.000, 0.000, 0.000), Ru at (0.125, 0.125, 0.625) and Br at (0.250, 0.250, 0.250).

=====

[15]
Entry from the Alexandria database: crystalline SiRuBr4 at its relaxed geometry (PBE).

The total magnetization is 2.22 μB/f.u. The calculated density comes out at 4.64 g/cm³. The volume comes out at 642.5 Å³ per cell. The total energy is -50.84 eV/cell.

It has space group F-43m (No. 216), with a = 8.629 Å, b = 8.629 Å, c = 8.629 Å, α = 90.00°, β = 90.00° and γ = 90.00°. The inequivalent atoms are Si at (0.000, 0.000, 0.000), Ru at (0.250, 0.250, 0.250) and Br at (0.124, 0.124, 0.624).

=====

[16]
Entry from the Alexandria database: crystalline SiRu3Br at its relaxed geometry (PBE).

The total magnetization is 4.98 μB/f.u. The calculated density comes out at 7.30 g/cm³. For the polymorph energy (0 for the lowest one), the calculation gives 0 meV/atom. The volume comes out at 93.6 Å³ per cell.

It has space group Pm-3m (No. 221), with a = 4.540 Å, b = 4.540 Å, c = 4.540 Å, α = 90.00°, β = 90.00° and γ = 90.00°. The inequivalent atoms are Si at (0.000, 0.000, 0.000), Ru at (0.000, 0.000, 0.500) and Br at (0.500, 0.500, 0.500).

=====

[17]
Entry from the Alexandria database: crystalline SiRuBr3 at its relaxed geometry (PBE).

The total magnetization is 0.01 μB/f.u. The calculated density comes out at 4.81 g/cm³. For the polymorph energy (0 for the lowest one), the calculation gives 0 meV/atom. The volume comes out at 127.4 Å³ per cell.

It has space group Pm-3m (No. 221), with a = 5.031 Å, b = 5.031 Å, c = 5.031 Å, α = 90.00°, β = 90.00° and γ = 90.00°. The inequivalent atoms are Si at (0.000, 0.000, 0.000), Ru at (0.500, 0.500, 0.500) and Br at (0.000, 0.500, 0.500).

=====

[18]
Entry from the Alexandria database: crystalline Si4RuBr at its relaxed geometry (PBE).

The total magnetization is 0.49 μB/f.u. The calculated density comes out at 4.97 g/cm³. The volume comes out at 391.8 Å³ per cell. The total energy is -111.55 eV/cell.

It has space group F-43m (No. 216), with a = 7.317 Å, b = 7.317 Å, c = 7.317 Å, α = 90.00°, β = 90.00° and γ = 90.00°. The inequivalent atoms are Si at (0.125, 0.125, 0.125), Ru at (0.000, 0.000, 0.500) and Br at (0.250, 0.250, 0.750).

=====

[19]
Entry from the Alexandria database: crystalline YSiRuBr2 at its relaxed geometry (PBE).

The total magnetization is 2.71 μB/f.u. The calculated density comes out at 3.67 g/cm³. The volume comes out at 170.9 Å³ per cell. The total energy is -21.28 eV/cell.

It has space group P4/mmm (No. 123), with a = 5.369 Å, b = 5.369 Å, c = 5.928 Å, α = 90.00°, β = 90.00° and γ = 90.00°. The inequivalent atoms are Y at (0.000, 0.000, 0.000), Si at (0.000, 0.000, 0.500), Ru at (0.500, 0.500, 0.500) and Br at (0.000, 0.500, 0.000).

=====

[20]
Entry from the Alexandria database: crystalline Zn2SiRuBr at its relaxed geometry (PBE).

The total magnetization is 1.90 μB/f.u. The calculated density comes out at 4.92 g/cm³. The volume comes out at 114.7 Å³ per cell. The total energy is -11.18 eV/cell.

It has space group P4/mmm (No. 123), with a = 4.797 Å, b = 4.797 Å, c = 4.984 Å, α = 90.00°, β = 90.00° and γ = 90.00°. The inequivalent atoms are Zn at (0.000, 0.500, 0.000), Si at (0.000, 0.000, 0.500), Ru at (0.500, 0.500, 0.500) and Br at (0.000, 0.000, 0.000).